VASP calculation (PBE) on crystalline SrTbBiAu at its relaxed geometry.

## Properties
The value obtained for the formation energy is -0.66 eV per atom.

a b c (Å): 5.478 5.478 5.478
angles (deg): 60.00 60.00 60.00
Fractional coordinates of all 4 atoms:
Bi 0.000 0.000 0.000
Tb 0.250 0.250 0.250
Sr 0.750 0.750 0.750
Au 0.500 0.500 0.500



VASP calculation (PBE) on crystalline SrTcBiAu2 at its relaxed geometry.

## Properties
The value obtained for the formation energy is 0.10 eV per atom.

a b c (Å): 5.252 5.137 5.252
angles (deg): 90.00 90.00 90.00
Fractional coordinates of all 5 atoms:
Au 0.500 0.000 0.000
Bi 0.000 0.500 0.000
Sr 0.500 0.500 0.500
Tc 0.000 0.000 0.000
Au 0.000 0.000 0.500



VASP calculation (PBE) on crystalline SrBiTe3Au at its relaxed geometry.

## Properties
For the uncorrected formation energy, the calculation gives -0.645 eV per atom.

a b c (Å): 4.494 9.062 9.934
angles (deg): 99.88 90.00 90.00
Fractional coordinates of all 12 atoms:
Te 0.250 0.104 0.879
Te 0.250 0.585 0.836
Te 0.750 0.415 0.164
Sr 0.750 0.837 0.736
Te 0.750 0.896 0.121
Te 0.750 0.255 0.521
Au 0.250 0.071 0.581
Bi 0.250 0.662 0.152
Au 0.750 0.929 0.419
Sr 0.250 0.163 0.264
Bi 0.750 0.338 0.848
Te 0.250 0.745 0.479



VASP calculation (PBE) on crystalline SrBiW2Au at its relaxed geometry.

## Properties
The value obtained for the formation energy is 1.68 eV per atom.

a b c (Å): 4.999 5.715 4.999
angles (deg): 90.00 90.00 90.00
Fractional coordinates of all 5 atoms:
W 0.500 0.000 0.000
Sr 0.500 0.500 0.500
Au 0.000 0.000 0.000
W 0.000 0.000 0.500
Bi 0.000 0.500 0.000



VASP calculation (PBE) on crystalline SrZnBiAu at its relaxed geometry.

## Properties
The value obtained for the formation energy is -0.38 eV per atom.

a b c (Å): 5.258 5.258 5.258
angles (deg): 60.00 60.00 60.00
Fractional coordinates of all 4 atoms:
Zn 0.000 0.000 0.000
Bi 0.250 0.250 0.250
Au 0.500 0.500 0.500
Sr 0.750 0.750 0.750



VASP calculation (PBE) on crystalline SrZn2BiAu5 at its relaxed geometry.

## Properties
The value obtained for the formation energy is -0.22 eV per atom.

a b c (Å): 4.973 4.973 7.910
angles (deg): 90.00 90.00 90.00
Fractional coordinates of all 9 atoms:
Au 0.000 0.500 0.246
Au 0.000 0.500 0.754
Au 0.500 0.000 0.246
Zn 0.500 0.500 0.159
Zn 0.500 0.500 0.841
Sr 0.000 0.000 0.500
Au 0.500 0.500 0.500
Au 0.500 0.000 0.754
Bi 0.000 0.000 0.000



VASP calculation (PBE) on crystalline Sr2ZnBiAu6 at its relaxed geometry.

## Properties
The value obtained for the formation energy is -0.36 eV per atom.

a b c (Å): 6.209 9.127 6.142
angles (deg): 70.95 59.37 90.01
Fractional coordinates of all 10 atoms:
Bi 0.000 0.000 0.000
Zn 0.500 0.500 0.000
Au 0.259 0.270 0.481
Sr 0.202 0.608 0.597
Au 0.750 0.268 0.988
Sr 0.798 0.392 0.403
Au 0.262 0.269 0.987
Au 0.250 0.732 0.012
Au 0.741 0.730 0.519
Au 0.738 0.731 0.013



VASP calculation (PBE) on crystalline Ta3BiAu at its relaxed geometry.

## Properties
The value obtained for the formation energy is 2.35 eV per atom. The calculation puts the energy above the lowest structure with this stoichiometry at 837 meV per atom.

a b c (Å): 5.098 5.098 5.098
angles (deg): 90.00 90.00 90.00
Fractional coordinates of all 5 atoms:
Au 0.500 0.500 0.500
Ta 0.500 0.000 0.000
Ta 0.000 0.000 0.500
Ta 0.000 0.500 0.000
Bi 0.000 0.000 0.000



Which formula does entry 5 have? SrZnBiAu